# 1
Entry from Alexandria via LeMat-Bulk: a relaxed structure of TbAl2Pt4 (GGA-PBE).

```
data_TbAl2Pt4
_chemical_formula_sum 'Tb4 Al8 Pt16'
_symmetry_space_group_name_H-M 'P 1'
_symmetry_Int_Tables_number 1
_symmetry_space_group_name_Hall 'P 1'
_cell_length_a 16.481
_cell_length_b 4.215
_cell_length_c 7.042
_cell_angle_alpha 90.00
_cell_angle_beta 90.00
_cell_angle_gamma 90.00
loop_
_atom_site_label
_atom_site_fract_x
_atom_site_fract_y
_atom_site_fract_z
Tb1 0.147 0.250 0.058
Tb2 0.353 0.750 0.558
Tb3 0.647 0.250 0.442
Tb4 0.853 0.750 0.942
Al1 0.024 0.750 0.251
Al2 0.195 0.250 0.605
Al3 0.305 0.750 0.105
Al4 0.476 0.250 0.751
Al5 0.524 0.750 0.249
Al6 0.695 0.250 0.895
Al7 0.805 0.750 0.395
Al8 0.976 0.250 0.749
Pt1 0.043 0.750 0.894
Pt2 0.056 0.250 0.447
Pt3 0.174 0.750 0.384
Pt4 0.212 0.750 0.808
Pt5 0.288 0.250 0.308
Pt6 0.326 0.250 0.884
Pt7 0.444 0.750 0.947
Pt8 0.457 0.250 0.394
Pt9 0.543 0.750 0.606
Pt10 0.556 0.250 0.053
Pt11 0.674 0.750 0.116
Pt12 0.712 0.750 0.692
Pt13 0.788 0.250 0.192
Pt14 0.826 0.250 0.616
Pt15 0.944 0.750 0.553
Pt16 0.957 0.250 0.106
```

Computed properties:
* SG: No. 62
* formation energy: -1.018 eV/atom

---

# 2
Entry from Alexandria via LeMat-Bulk: a relaxed structure of K2La2Cl (GGA-PBE).

```
data_K2La2Cl
_chemical_formula_sum 'K4 La4 Cl2'
_symmetry_space_group_name_H-M 'P 1'
_symmetry_Int_Tables_number 1
_symmetry_space_group_name_Hall 'P 1'
_cell_length_a 7.625
_cell_length_b 7.625
_cell_length_c 7.719
_cell_angle_alpha 90.00
_cell_angle_beta 90.00
_cell_angle_gamma 90.00
loop_
_atom_site_label
_atom_site_fract_x
_atom_site_fract_y
_atom_site_fract_z
K1 0.181 0.319 0.000
K2 0.319 0.819 0.000
K3 0.681 0.181 0.000
K4 0.819 0.681 0.000
La1 0.146 0.646 0.500
La2 0.354 0.146 0.500
La3 0.646 0.854 0.500
La4 0.854 0.354 0.500
Cl1 0.000 0.000 0.500
Cl2 0.500 0.500 0.500
```

Computed properties:
* formation energy without anion corrections: -320 meV/atom
* SG: No. 127
* E above lowest polymorph: 0 meV per atom

---

# 3
Entry from Alexandria via LeMat-Bulk: a relaxed structure of MgCoCl6 (GGA-PBE).

```
data_MgCoCl6
_chemical_formula_sum 'Mg1 Co1 Cl6'
_symmetry_space_group_name_H-M 'P 1'
_symmetry_Int_Tables_number 1
_symmetry_space_group_name_Hall 'P 1'
_cell_length_a 6.400
_cell_length_b 6.400
_cell_length_c 6.400
_cell_angle_alpha 56.39
_cell_angle_beta 56.39
_cell_angle_gamma 56.39
loop_
_atom_site_label
_atom_site_fract_x
_atom_site_fract_y
_atom_site_fract_z
Mg1 0.000 0.000 0.000
Co1 0.500 0.500 0.500
Cl1 0.111 0.725 0.425
Cl2 0.275 0.575 0.889
Cl3 0.425 0.111 0.725
Cl4 0.575 0.889 0.275
Cl5 0.725 0.425 0.111
Cl6 0.889 0.275 0.575
```

Computed properties:
* formation energy without anion corrections: -815 meV/atom
* SG: No. 148